1.
NpGa3Pd12 | PBE-GGA | relaxed

Cell lengths 4.008, 4.008, 15.701 Å; angles 90.00, 90.00, 90.00 degrees
Each line ends with the local moment (μB).
Element x y z (fractional)
Np (0.000, 0.000, 0.000)  3.11
Ga (0.000, 0.000, 0.263)  0.00
Ga (0.000, 0.000, 0.500)  0.01
Ga (0.000, 0.000, 0.737)  0.00
Pd (0.500, 0.500, 0.000)  -0.08
Pd (0.500, 0.500, 0.256)  -0.03
Pd (0.500, 0.500, 0.500)  -0.01
Pd (0.500, 0.500, 0.744)  -0.03
Pd (0.500, 0.000, 0.132)  -0.07
Pd (0.500, 0.000, 0.379)  -0.01
Pd (0.500, 0.000, 0.621)  -0.01
Pd (0.500, 0.000, 0.868)  -0.07
Pd (0.000, 0.500, 0.132)  -0.07
Pd (0.000, 0.500, 0.379)  -0.01
Pd (0.000, 0.500, 0.621)  -0.01
Pd (0.000, 0.500, 0.868)  -0.07

Its space group is P4/mmm. The calculation puts the total energy at -0.210 hartree per atom. The value obtained for the formation enthalpy at 0 K is -0.452 eV/atom. The value obtained for the density of states at the Fermi level is 21.15 states/eV/cell. Its total magnetic moment is 2.697 Bohr magnetons per cell.

***

2.
NpGaPd2 | PBE-GGA | relaxed

Cell lengths 6.543, 4.410, 4.883 Å; angles 90.00, 88.26, 90.00 degrees
Each line ends with the local moment (μB).
Element x y z (fractional)
Np (0.998, 0.250, 0.838)  3.41
Np (0.002, 0.750, 0.162)  3.41
Ga (0.326, 0.750, 0.674)  -0.02
Ga (0.674, 0.250, 0.326)  -0.02
Pd (0.257, 0.250, 0.351)  -0.02
Pd (0.743, 0.750, 0.649)  -0.02
Pd (0.503, 0.250, 0.827)  0.00
Pd (0.497, 0.750, 0.173)  0.00

Its space group is P2_1/m. The calculation puts the total energy at -0.257 hartree per atom. The value obtained for the formation enthalpy at 0 K is -0.391 eV/atom. The value obtained for the density of states at the Fermi level is 9.79 states/eV/cell. Its total magnetic moment is 6.888 Bohr magnetons per cell.

***

3.
NpGaPd3 | PBE-GGA | relaxed

Cell lengths 8.381, 6.960, 6.928 Å; angles 115.08, 90.00, 90.00 degrees
Each line ends with the local moment (μB).
Element x y z (fractional)
Np (0.706, 0.501, 0.499)  3.88
Np (0.294, 0.499, 0.501)  3.88
Np (0.206, 0.999, 0.001)  3.88
Np (0.794, 0.001, 0.999)  3.88
Ga (0.499, 0.327, 0.069)  0.01
Ga (0.501, 0.673, 0.931)  0.01
Ga (0.999, 0.173, 0.431)  0.01
Ga (0.001, 0.827, 0.569)  0.01
Pd (0.001, 0.410, 0.246)  -0.04
Pd (0.999, 0.590, 0.754)  -0.04
Pd (0.501, 0.090, 0.254)  -0.04
Pd (0.499, 0.910, 0.746)  -0.04
Pd (0.499, 0.724, 0.313)  -0.02
Pd (0.501, 0.276, 0.687)  -0.02
Pd (0.999, 0.776, 0.187)  -0.02
Pd (0.001, 0.224, 0.813)  -0.02
Pd (0.748, 0.999, 0.501)  0.02
Pd (0.252, 0.001, 0.499)  0.02
Pd (0.248, 0.501, 0.999)  0.02
Pd (0.752, 0.499, 0.001)  0.02

Its space group is P2_1/c. The calculation puts the total energy at -0.245 hartree per atom. The value obtained for the formation enthalpy at 0 K is -0.364 eV/atom. The value obtained for the density of states at the Fermi level is 44.48 states/eV/cell. Its total magnetic moment is 16.750 Bohr magnetons per cell.

***

4.
NpGa4Pd8 | PBE-GGA | relaxed

Cell lengths 5.446, 6.807, 6.807 Å; angles 80.79, 66.42, 66.42 degrees
Each line ends with the local moment (μB).
Element x y z (fractional)
Np (0.000, 0.000, 0.000)  3.70
Ga (0.000, 0.000, 0.500)  -0.01
Ga (0.500, 0.000, 0.500)  -0.01
Ga (0.000, 0.500, 0.000)  -0.01
Ga (0.500, 0.500, 0.000)  -0.01
Pd (0.000, 0.332, 0.668)  -0.02
Pd (0.000, 0.668, 0.332)  -0.02
Pd (0.332, 0.668, 0.668)  -0.02
Pd (0.668, 0.332, 0.332)  -0.02
Pd (0.500, 0.776, 0.224)  -0.01
Pd (0.500, 0.224, 0.776)  -0.01
Pd (0.276, 0.224, 0.224)  -0.01
Pd (0.724, 0.776, 0.776)  -0.01

Its space group is I4/mmm. The calculation puts the total energy at -0.207 hartree per atom. The value obtained for the formation enthalpy at 0 K is -0.519 eV/atom. The value obtained for the density of states at the Fermi level is 15.97 states/eV/cell. Its total magnetic moment is 3.709 Bohr magnetons per cell.

***

Number 4 is which compound?
NpGa4Pd8

***

Which of these has the lowest total magnetic moment?
NpGa3Pd12